Record 1
A plane-wave DFT calculation with GGA-PBE was carried out for a relaxed Pu2NiC crystal.

abc: 3.108 3.108 6.655
angles: 90.00 90.00 90.00
Sites, in units of the cell vectors:
Pu 0.000 0.000 0.208
Pu 0.000 0.000 0.792
Ni 0.500 0.500 0.500
C 0.500 0.500 0.000

Values from the calculation:
Fermi-level density of states = 10.996 states/eV per cell
E above lowest polymorph = 41 meV/atom
Calculated formation energy = 0.1319 eV per atom

=====

Record 2
A plane-wave DFT calculation with GGA-PBE was carried out for a relaxed PuNi3C crystal.

abc: 5.098 5.424 5.425
angles: 120.01 90.00 89.99
Sites, in units of the cell vectors:
C 0.500 0.000 0.000
C 0.000 0.000 0.000
Pu 0.250 0.334 0.667
Pu 0.750 0.667 0.333
Ni 0.250 0.328 0.164
Ni 0.750 0.164 0.836
Ni 0.750 0.164 0.328
Ni 0.750 0.671 0.836
Ni 0.250 0.836 0.671
Ni 0.250 0.836 0.164

Values from the calculation:
Fermi-level density of states = 31.599 states/eV per cell
Calculated formation energy = 0.2482 eV per atom

=====

Record 3
A plane-wave DFT calculation with GGA-PBE was carried out for a relaxed Pu4Ni13C4 crystal.

abc: 3.875 8.421 8.421
angles: 90.76 90.00 90.00
Sites, in units of the cell vectors:
Ni 0.500 0.071 0.714
Ni 0.500 0.574 0.792
Ni 0.500 0.792 0.574
Ni 0.500 0.929 0.286
Ni 0.000 0.000 0.500
Ni 0.000 0.500 0.000
Ni 0.500 0.426 0.208
Ni 0.000 0.627 0.627
Ni 0.500 0.714 0.071
Ni 0.000 0.373 0.373
Ni 0.500 0.286 0.929
Ni 0.500 0.500 0.500
Ni 0.500 0.208 0.426
C 0.500 0.000 0.500
C 0.500 0.057 0.943
C 0.500 0.943 0.057
C 0.500 0.500 0.000
Pu 0.000 0.314 0.686
Pu 0.000 0.147 0.147
Pu 0.000 0.853 0.853
Pu 0.000 0.686 0.314

Values from the calculation:
Fermi-level density of states = 58.394 states/eV per cell
Calculated formation energy = -0.1217 eV per atom

=====

Record 4
A plane-wave DFT calculation with GGA-PBE was carried out for a relaxed RbNiC2 crystal.

abc: 4.276 4.276 4.276
angles: 60.00 60.00 60.00
Sites, in units of the cell vectors:
Rb 0.500 0.500 0.500
C 0.250 0.250 0.250
C 0.750 0.750 0.750
Ni 0.000 0.000 0.000

Values from the calculation:
Fermi-level density of states = 3.698 states/eV per cell
E above lowest polymorph = 1621 meV/atom
Calculated formation energy = 2.8768 eV per atom

=====

Record 5
A plane-wave DFT calculation with GGA-PBE was carried out for a relaxed RbNiC3 crystal.

abc: 4.046 4.046 4.046
angles: 90.00 90.00 90.00
Sites, in units of the cell vectors:
Rb 0.500 0.500 0.500
C 0.500 0.000 0.000
C 0.000 0.500 0.000
C 0.000 0.000 0.500
Ni 0.000 0.000 0.000

Values from the calculation:
Fermi-level density of states = 8.495 states/eV per cell
E above lowest polymorph = 0 meV/atom
Calculated formation energy = 2.5231 eV per atom

=====

Record 6
A plane-wave DFT calculation with GGA-PBE was carried out for a relaxed RbNiC2 crystal.

abc: 5.347 5.347 6.165
angles: 64.30 64.30 90.00
Sites, in units of the cell vectors:
Rb 0.750 0.250 0.500
Rb 0.000 0.000 0.000
Ni 0.500 0.500 0.000
Ni 0.250 0.750 0.500
C 0.375 0.125 0.250
C 0.375 0.625 0.750
C 0.875 0.625 0.750
C 0.375 0.625 0.250

Values from the calculation:
Fermi-level density of states = 3.599 states/eV per cell
E above lowest polymorph = 0 meV/atom
Calculated formation energy = 1.2555 eV per atom

=====

- Which formula does entry 4 have?
  RbNiC2